Record 1
## NiPd (PBE-GGA)

Data for an optimized crystal structure of NiPd.

Cell: 13.043 2.709 4.522 Å, 90.00 90.00 90.00°
Space group Pmma (No. 51)
Unique sites:
Ni (0.082, 0.000, 0.181) (multiplicity 4)
Ni (0.250, 0.000, 0.538) (multiplicity 2)
Pd (0.084, 0.500, 0.682) (multiplicity 4)
Pd (0.250, 0.500, 0.052) (multiplicity 2)

Properties
E_form: 0.08 eV/f.u.

=====

Record 2
## CaZn2SnPd4 (PBE-GGA)

Data for an optimized crystal structure of CaZn2SnPd4.

Cell: 4.6052 4.6052 22.3140 Å, 90.00 90.00 120.00°
Space group R-3m (No. 166, hexagonal axes)
Unique sites:
Ca (0.0000, 0.0000, 0.0000) (multiplicity 3)
Zn (0.0000, 0.0000, 0.2550) (multiplicity 6)
Sn (0.0000, 0.0000, 0.5000) (multiplicity 3)
Pd (0.0000, 0.0000, 0.1317) (multiplicity 6)
Pd (0.0000, 0.0000, 0.3813) (multiplicity 6)

Properties
E_form: -4.37 eV/f.u.

=====

Record 3
## BaPuPd (PBE-GGA)

Data for an optimized crystal structure of BaPuPd.

Cell: 8.576 3.456 12.288 Å, 90.00 104.95 90.00°
Space group C2/m (No. 12)
Unique sites:
Ba (0.179, 0.000, 0.163) (multiplicity 4)
Pu (0.183, 0.500, 0.534) (multiplicity 4)
Pd (0.026, 0.000, 0.662) (multiplicity 4)

Properties
Excess energy over the best structure of this formula in the dataset: 0.295 eV per atom
E_form: 0.05 eV/f.u.

=====

Record 4
## Cd3BiH (PBE-GGA)

Data for an optimized crystal structure of Cd3BiH.

Cell: 4.735 4.735 4.735 Å, 90.00 90.00 90.00°
Space group Pm-3m (No. 221)
Unique sites:
Cd (0.000, 0.000, 0.500) (multiplicity 3)
Bi (0.500, 0.500, 0.500) (multiplicity 1)
H (0.000, 0.000, 0.000) (multiplicity 1)

Properties
Uncorrected energy: -8.71 eV/cell

=====

Record 5
## YMgP2 (PBE-GGA)

Data for an optimized crystal structure of YMgP2.

Cell: 3.564 3.564 5.978 Å, 90.00 90.00 90.00°
Space group P4/mmm (No. 123)
Unique sites:
Y (0.000, 0.000, 0.000) (multiplicity 1)
Mg (0.000, 0.000, 0.500) (multiplicity 1)
P (0.500, 0.500, 0.262) (multiplicity 2)

Properties
E_form: -2.43 eV/f.u.

=====

Record 6
## TlV2AsP (PBE-GGA)

Data for an optimized crystal structure of TlV2AsP.

Cell: 4.775 4.775 5.364 Å, 90.00 90.00 90.00°
Space group P4/mmm (No. 123)
Unique sites:
Tl (0.000, 0.000, 0.000) (multiplicity 1)
V (0.000, 0.500, 0.500) (multiplicity 2)
As (0.000, 0.000, 0.500) (multiplicity 1)
P (0.500, 0.500, 0.000) (multiplicity 1)

Properties
E_form: 4.53 eV/f.u.

=====

Record 7
## CePmIn3 (PBE-GGA)

Data for an optimized crystal structure of CePmIn3.

Cell: 6.013 6.013 22.416 Å, 90.00 90.00 90.00°
Space group I-4m2 (No. 119)
Unique sites:
Ce (0.000, 0.000, 0.062) (multiplicity 4)
Pm (0.000, 0.000, 0.500) (multiplicity 2)
Pm (0.000, 0.500, 0.750) (multiplicity 2)
In (0.000, 0.249, 0.627) (multiplicity 8)
In (0.000, 0.500, 0.501) (multiplicity 4)

Properties
E_form: 0.63 eV/f.u.

=====

Record 8
## ErCdPt2 (PBE-GGA)

Data for an optimized crystal structure of ErCdPt2.

Cell: 3.565 3.565 6.013 Å, 90.00 90.00 90.00°
Space group P4/mmm (No. 123)
Unique sites:
Er (0.000, 0.000, 0.000) (multiplicity 1)
Cd (0.000, 0.000, 0.500) (multiplicity 1)
Pt (0.500, 0.500, 0.255) (multiplicity 2)

Properties
E_form: -3.51 eV/f.u.

=====

Record 9
## K2CoW (PBE-GGA)

Data for an optimized crystal structure of K2CoW.

Cell: 3.106 6.168 12.347 Å, 90.00 90.00 90.00°
Space group Imm2 (No. 44)
Unique sites:
K (0.000, 0.000, 0.000) (multiplicity 2)
K (0.000, 0.500, 0.201) (multiplicity 2)
Co (0.000, 0.000, 0.442) (multiplicity 2)
W (0.000, 0.500, 0.812) (multiplicity 2)

Properties
Excess energy over the best structure of this formula in the dataset: 0.392 eV per atom
E_form: 4.96 eV/f.u.

=====

Record 10
## CdTcF2 (PBE-GGA)

Data for an optimized crystal structure of CdTcF2.

Cell: 2.8032 2.8032 25.9908 Å, 90.00 90.00 120.00°
Space group R-3m (No. 166, hexagonal axes)
Unique sites:
Cd (0.0000, 0.0000, 0.0000) (multiplicity 3)
Tc (0.0000, 0.0000, 0.5000) (multiplicity 3)
F (0.0000, 0.0000, 0.4255) (multiplicity 6)

Properties
Excess energy over the best structure of this formula in the dataset: 0.000 eV per atom
Formation energy from raw total energies: -1.0673 eV/atom

=====

Record 11
## SrY5 (PBE-GGA)

Data for an optimized crystal structure of SrY5.

Cell: 5.826 3.670 19.536 Å, 90.00 90.00 90.00°
Space group Amm2 (No. 38)
Unique sites:
Sr (0.000, 0.000, 0.000) (multiplicity 2)
Y (0.000, 0.000, 0.328) (multiplicity 2)
Y (0.000, 0.000, 0.673) (multiplicity 2)
Y (0.500, 0.000, 0.225) (multiplicity 2)
Y (0.500, 0.000, 0.564) (multiplicity 2)
Y (0.500, 0.000, 0.887) (multiplicity 2)

Properties
Excess energy over the best structure of this formula in the dataset: 0.006 eV per atom
E_form: 0.60 eV/f.u.

=====

Record 12
## NiIr2Pb (PBE-GGA)

Data for an optimized crystal structure of NiIr2Pb.

Cell: 4.005 4.005 3.950 Å, 90.00 90.00 90.00°
Space group P4/mmm (No. 123)
Unique sites:
Ni (0.000, 0.000, 0.000) (multiplicity 1)
Ir (0.000, 0.500, 0.500) (multiplicity 2)
Pb (0.500, 0.500, 0.000) (multiplicity 1)

Properties
E_form: 1.48 eV/f.u.